Record 1
The following is a PBE-GGA calculation of a relaxed structure of MgCrIr2, from Alexandria via LeMat-Bulk.

a = 2.8463 Å, b = 4.5831 Å, c = 9.0305 Å
α = 90.00°, β = 90.00°, γ = 90.00°
Last column: nearest neighbours and their distance in Å.
Space group Cmm2 (No. 35)
Unique sites:
Mg (0.0000, 0.0000, 0.0000) (multiplicity 2)  2 Ir 2.65, 6 Mg 2.70-2.85, 2 Cr 2.75
Cr (0.0000, 0.5000, 0.2601) (multiplicity 2)  2 Ir 2.49, 4 Cr 2.70, 2 Mg 2.75
Ir (0.0000, 0.0000, 0.4868) (multiplicity 2)  2 Cr 2.49, 6 Ir 2.70-2.79
Ir (0.0000, 0.5000, 0.7527) (multiplicity 2)  2 Mg 2.65, 8 Ir 2.70-2.85

Electronic total energy   -0.25658 Ha/atom



Record 2
The following is a PBE-GGA calculation of a relaxed structure of Mg2CrIr, from Alexandria via LeMat-Bulk.

a = 4.0669 Å, b = 4.0669 Å, c = 7.8609 Å
α = 90.00°, β = 90.00°, γ = 90.00°
Last column: nearest neighbours and their distance in Å.
Space group I4/mmm (No. 139)
Unique sites:
Mg (0.0000, 0.5000, 0.2500) (multiplicity 4)  4 Cr 2.83, 4 Ir 2.83, 4 Mg 2.88
Cr (0.0000, 0.0000, 0.0000) (multiplicity 2)  8 Mg 2.83, 4 Ir 2.88
Ir (0.0000, 0.0000, 0.5000) (multiplicity 2)  8 Mg 2.83, 4 Cr 2.88

ΔE to the lowest computed polymorph   0.10 eV per formula unit



Record 3
The following is a PBE-GGA calculation of a relaxed structure of Mg2CrIr, from Alexandria via LeMat-Bulk.

a = 4.4282 Å, b = 4.4282 Å, c = 3.3122 Å
α = 90.00°, β = 90.00°, γ = 90.00°
Last column: nearest neighbours and their distance in Å.
Space group P4/mmm (No. 123)
Unique sites:
Mg (0.0000, 0.5000, 0.0000) (multiplicity 2)  4 Cr 2.76, 4 Ir 2.76
Cr (0.0000, 0.0000, 0.5000) (multiplicity 1)  8 Mg 2.76
Ir (0.5000, 0.5000, 0.5000) (multiplicity 1)  8 Mg 2.76

ΔE to the lowest computed polymorph   0.48 eV per formula unit



Record 4
The following is a PBE-GGA calculation of a relaxed structure of Mg2CrIr, from Alexandria via LeMat-Bulk.

a = 3.2531 Å, b = 3.2531 Å, c = 6.2629 Å
α = 90.00°, β = 90.00°, γ = 90.00°
Last column: nearest neighbours and their distance in Å.
Space group P4/mmm (No. 123)
Unique sites:
Mg (0.0000, 0.0000, 0.2280) (multiplicity 2)  4 Ir 2.71, 1 Mg 2.86, 4 Cr 2.86
Cr (0.5000, 0.5000, 0.5000) (multiplicity 1)  8 Mg 2.86, 2 Ir 3.13
Ir (0.5000, 0.5000, 0.0000) (multiplicity 1)  8 Mg 2.71

ΔE to the lowest computed polymorph   0.44 eV per formula unit



Record 5
The following is a PBE-GGA calculation of a relaxed structure of MgCr3Ir, from Alexandria via LeMat-Bulk.

a = 4.7798 Å, b = 4.7798 Å, c = 4.7798 Å
α = 90.00°, β = 90.00°, γ = 90.00°
Last column: nearest neighbours and their distance in Å.
Space group Pm-3m (No. 221)
Unique sites:
Mg (0.0000, 0.0000, 0.0000) (multiplicity 1)  12 Cr 3.38
Cr (0.0000, 0.5000, 0.5000) (multiplicity 3)  2 Ir 2.39
Ir (0.5000, 0.5000, 0.5000) (multiplicity 1)  6 Cr 2.39

ΔE to the lowest computed polymorph   0.00 eV per formula unit



Record 6
The following is a PBE-GGA calculation of a relaxed structure of MgCr2Ir, from Alexandria via LeMat-Bulk.

a = 2.6907 Å, b = 2.6907 Å, c = 7.9021 Å
α = 90.00°, β = 90.00°, γ = 90.00°
Last column: nearest neighbours and their distance in Å.
Space group P4/mmm (No. 123)
Unique sites:
Mg (0.0000, 0.0000, 0.0000) (multiplicity 1)  4 Mg 2.69, 8 Cr 2.88
Cr (0.5000, 0.5000, 0.2732) (multiplicity 2)  4 Ir 2.61, 4 Cr 2.69, 4 Mg 2.88
Ir (0.0000, 0.0000, 0.5000) (multiplicity 1)  8 Cr 2.61, 4 Ir 2.69

Electronic total energy   -0.26359 Ha/atom